(1)
The following is a GGA-PBE calculation of Tb3CePm4 after structural relaxation, from the Alexandria database.

Results
**Raw total energy**: -74.65 eV per cell
**N(E_F)**: 15.5 states/eV/f.u.
**ΔH_f (0 K)**: 0.19 eV/atom
**Magnetization**: 0.858 μB per formula unit

abc: 23.5639 3.4500 6.8756
angles: 90.00 106.90 90.00
Space group C2/m (No. 12)
Symmetry-distinct sites (fractional):
Tb: 0.0000 0.0000 0.0000 x2
Tb: 0.1231 0.0000 0.3822 x4
Ce: 0.0000 0.5000 0.5000 x2
Pm: 0.1227 0.0000 0.8639 x4
Pm: 0.2417 0.5000 0.7382 x4

---

(2)
The following is a GGA-PBE calculation of Pm2PrDy9 after structural relaxation, from the Alexandria database.

Results
**Excess energy over the best structure of this formula in the dataset**: 0 meV per atom
**Raw total energy**: -55.46 eV per cell
**N(E_F)**: 17.4 states/eV/f.u.
**ΔH_f (0 K)**: 0.02 eV/atom
**Magnetization**: 0.000 μB per formula unit

abc: 5.0545 5.0545 15.1502
angles: 90.00 90.00 90.00
Space group P4/mmm (No. 123)
Symmetry-distinct sites (fractional):
Pm: 0.0000 0.0000 0.1664 x2
Pr: 0.0000 0.0000 0.5000 x1
Dy: 0.0000 0.5000 0.0000 x2
Dy: 0.0000 0.5000 0.3324 x4
Dy: 0.5000 0.5000 0.1661 x2
Dy: 0.5000 0.5000 0.5000 x1

---

(3)
The following is a GGA-PBE calculation of Pr2Y3Tm9 after structural relaxation, from the Alexandria database.

Results
**Raw total energy**: -67.99 eV per cell
**N(E_F)**: 22.7 states/eV/f.u.
**ΔH_f (0 K)**: 0.09 eV/atom
**Magnetization**: 0.000 μB per formula unit

abc: 6.3854 8.3484 8.8548
angles: 87.69 82.99 71.05
Space group P1 (No. 1)
Symmetry-distinct sites (fractional):
Pr: 0.0000 0.0000 0.0000 x1
Pr: 0.1536 0.6495 0.1969 x1
Y: 0.4747 0.0332 0.7928 x1
Y: 0.6225 0.3430 0.1672 x1
Y: 0.8065 0.5466 0.4501 x1
Tm: 0.0804 0.3856 0.9513 x1
Tm: 0.1930 0.1682 0.2872 x1
Tm: 0.3142 0.8208 0.5044 x1
Tm: 0.3496 0.3882 0.5461 x1
Tm: 0.5113 0.5767 0.8270 x1
Tm: 0.6082 0.7854 0.1230 x1
Tm: 0.7543 0.9828 0.4166 x1
Tm: 0.9292 0.1972 0.6642 x1
Tm: 0.9533 0.7319 0.7471 x1

---

(4)
The following is a GGA-PBE calculation of K2ZnIn4Ga3 after structural relaxation, from the Alexandria database.

Results
**Raw total energy**: -24.45 eV per cell
**N(E_F)**: 4.0 states/eV/f.u.
**ΔH_f (0 K)**: -0.09 eV/atom
**Magnetization**: 0.000 μB per formula unit

abc: 4.7659 4.7659 11.8067
angles: 90.00 90.00 90.00
Space group P-4m2 (No. 115)
Symmetry-distinct sites (fractional):
K: 0.0000 0.5000 0.2468 x2
Zn: 0.5000 0.5000 0.0000 x1
In: 0.0000 0.0000 0.5000 x1
In: 0.0000 0.5000 0.8706 x2
In: 0.5000 0.5000 0.5000 x1
Ga: 0.0000 0.0000 0.0000 x1
Ga: 0.0000 0.5000 0.6372 x2

---

(5)
The following is a GGA-PBE calculation of CaBr after structural relaxation, from the Alexandria database.

Results
**Raw total energy**: -6.21 eV per cell
**N(E_F)**: 0.5 states/eV/f.u.
**Formation energy without anion corrections**: -1.270 eV/atom
**Magnetization**: 0.835 μB per formula unit

abc: 3.9244 3.9244 4.3488
angles: 90.00 90.00 120.00
Space group P-6m2 (No. 187)
Symmetry-distinct sites (fractional):
Ca: 0.0000 0.0000 0.0000 x1
Br: 0.3333 0.6667 0.5000 x1

---

(6)
The following is a GGA-PBE calculation of ScCl after structural relaxation, from the Alexandria database.

Results
**Raw total energy**: -39.08 eV per cell
**N(E_F)**: 2.8 states/eV/f.u.
**Formation energy without anion corrections**: -0.795 eV/atom
**Magnetization**: 0.270 μB per formula unit

abc: 5.8321 5.8321 5.8321
angles: 90.00 90.00 90.00
Space group F-43m (No. 216)
Symmetry-distinct sites (fractional):
Sc: 0.0000 0.0000 0.0000 x4
Cl: 0.2500 0.2500 0.2500 x4

---

(7)
The following is a GGA-PBE calculation of PrPu2Ir after structural relaxation, from the Alexandria database.

Results
**Excess energy over the best structure of this formula in the dataset**: 97 meV per atom
**Raw total energy**: -42.92 eV per cell
**N(E_F)**: 13.4 states/eV/f.u.
**ΔH_f (0 K)**: -0.15 eV/atom
**Magnetization**: 10.984 μB per formula unit

abc: 3.5926 3.5926 7.9256
angles: 90.00 90.00 90.00
Space group P4/mmm (No. 123)
Symmetry-distinct sites (fractional):
Pr: 0.0000 0.0000 0.0000 x1
Pu: 0.5000 0.5000 0.3088 x2
Ir: 0.0000 0.0000 0.5000 x1

---

(8)
The following is a GGA-PBE calculation of MgCr2Ni after structural relaxation, from the Alexandria database.

Results
**Raw total energy**: -51.56 eV per cell
**N(E_F)**: 3.3 states/eV/f.u.
**ΔH_f (0 K)**: 0.21 eV/atom
**Magnetization**: 0.000 μB per formula unit

abc: 3.0249 4.2290 8.0920
angles: 90.00 90.00 90.00
Space group Cmm2 (No. 35)
Symmetry-distinct sites (fractional):
Mg: 0.0000 0.0000 0.0000 x2
Cr: 0.0000 0.0000 0.5099 x2
Cr: 0.0000 0.5000 0.2894 x2
Ni: 0.0000 0.5000 0.7403 x2

---

(9)
The following is a GGA-PBE calculation of NaSnBiSe3 after structural relaxation, from the Alexandria database.

Results
**Raw total energy**: -46.21 eV per cell
**N(E_F)**: 0.1 states/eV/f.u.
**Formation energy without anion corrections**: -0.575 eV/atom
**Magnetization**: 0.000 μB per formula unit

abc: 8.6197 4.1837 10.0634
angles: 90.00 95.55 90.00
Space group P2_1/m (No. 11)
Symmetry-distinct sites (fractional):
Na: 0.1328 0.2500 0.1439 x2
Sn: 0.1459 0.2500 0.5489 x2
Bi: 0.3756 0.7500 0.8443 x2
Se: 0.1168 0.2500 0.8226 x2
Se: 0.3544 0.7500 0.5552 x2
Se: 0.3863 0.7500 0.1432 x2

---

(10)
The following is a GGA-PBE calculation of NaSrNdAg after structural relaxation, from the Alexandria database.

Results
**Raw total energy**: -41.60 eV per cell
**N(E_F)**: 4.0 states/eV/f.u.
**ΔH_f (0 K)**: 0.05 eV/atom
**Magnetization**: 0.000 μB per formula unit

abc: 7.9580 7.9580 7.9580
angles: 90.00 90.00 90.00
Space group F-43m (No. 216)
Symmetry-distinct sites (fractional):
Na: 0.0000 0.0000 0.0000 x4
Sr: 0.2500 0.2500 0.2500 x4
Nd: 0.2500 0.2500 0.7500 x4
Ag: 0.0000 0.0000 0.5000 x4

---

(11)
The following is a GGA-PBE calculation of KIrRu after structural relaxation, from the Alexandria database.

Results
**Excess energy over the best structure of this formula in the dataset**: 2165 meV per atom
**Raw total energy**: -45.66 eV per cell
**N(E_F)**: 3.9 states/eV/f.u.
**ΔH_f (0 K)**: 2.61 eV/atom
**Magnetization**: 3.003 μB per formula unit

abc: 6.4386 6.4386 6.4386
angles: 90.00 90.00 90.00
Space group F-43m (No. 216)
Symmetry-distinct sites (fractional):
K: 0.0000 0.0000 0.0000 x4
Ir: 0.2500 0.2500 0.7500 x4
Ru: 0.2500 0.2500 0.2500 x4

---

(12)
The following is a GGA-PBE calculation of Co2MoRhN after structural relaxation, from the Alexandria database.

Results
**Raw total energy**: -40.86 eV per cell
**N(E_F)**: 4.9 states/eV/f.u.
**Formation energy without anion corrections**: -0.028 eV/atom
**Magnetization**: 2.265 μB per formula unit

abc: 3.8045 3.8045 4.0555
angles: 90.00 90.00 90.00
Space group P4/mmm (No. 123)
Symmetry-distinct sites (fractional):
Co: 0.0000 0.5000 0.0000 x2
Mo: 0.0000 0.0000 0.5000 x1
Rh: 0.5000 0.5000 0.5000 x1
N: 0.0000 0.0000 0.0000 x1

---

(13)
The following is a GGA-PBE calculation of TbDyCdRu after structural relaxation, from the Alexandria database.

Results
**Excess energy over the best structure of this formula in the dataset**: 110 meV per atom
**Raw total energy**: -82.26 eV per cell
**N(E_F)**: 3.5 states/eV/f.u.
**ΔH_f (0 K)**: -0.29 eV/atom
**Magnetization**: 0.000 μB per formula unit

abc: 7.1291 7.1291 7.1291
angles: 90.00 90.00 90.00
Space group F-43m (No. 216)
Symmetry-distinct sites (fractional):
Tb: 0.0000 0.0000 0.0000 x4
Dy: 0.0000 0.0000 0.5000 x4
Cd: 0.2500 0.2500 0.7500 x4
Ru: 0.2500 0.2500 0.2500 x4

---

(14)
The following is a GGA-PBE calculation of Er3HfCo8 after structural relaxation, from the Alexandria database.

Results
**Raw total energy**: -250.74 eV per cell
**N(E_F)**: 14.5 states/eV/f.u.
**ΔH_f (0 K)**: -0.26 eV/atom
**Magnetization**: 6.709 μB per formula unit

abc: 4.9891 4.9891 24.4440
angles: 90.00 90.00 120.00
Space group R3m (No. 160, hexagonal axes)
Symmetry-distinct sites (fractional):
Er: 0.0000 0.0000 0.0000 x3
Er: 0.0000 0.0000 0.1253 x3
Er: 0.0000 0.0000 0.6252 x3
Hf: 0.0000 0.0000 0.5007 x3
Co: 0.0000 0.0000 0.3130 x3
Co: 0.0000 0.0000 0.8133 x3
Co: 0.0042 0.5021 0.0650 x9
Co: 0.1682 0.3364 0.8942 x9